[1]
# meta-GGA SCAN SrTePt2, single point on PBEsol structure
# **Space group**: No. 119
# **E_form (uncorrected)**: -1.37 eV/f.u.
# **Energy relative to the lowest polymorph listed for this composition**: 1.80 eV per formula unit
data_SrTePt2
_space_group_name_H-M_alt 'P 1'
_space_group_IT_number 1
_cell_length_a 4.2209
_cell_length_b 4.2209
_cell_length_c 5.5309
_cell_angle_alpha 112.43
_cell_angle_beta 112.43
_cell_angle_gamma 90.00
loop_
_space_group_symop_operation_xyz
'x,y,z'
loop_
_atom_site_label
_atom_site_type_symbol
_atom_site_fract_x
_atom_site_fract_y
_atom_site_fract_z
Te1 Te 0.2500 0.7500 0.5000
Pt1 Pt 0.7500 0.2500 0.5000
Pt2 Pt 0.0000 0.0000 0.0000
Sr1 Sr 0.5000 0.5000 0.0000

[2]
# meta-GGA SCAN NdYIr2, single point on PBEsol structure
# **ΔH_f (0 K)**: -0.80 eV per atom
# **Space group**: No. 225
data_NdYIr2
_space_group_name_H-M_alt 'P 1'
_space_group_IT_number 1
_cell_length_a 4.8652
_cell_length_b 4.8652
_cell_length_c 4.8652
_cell_angle_alpha 60.00
_cell_angle_beta 60.00
_cell_angle_gamma 60.00
loop_
_space_group_symop_operation_xyz
'x,y,z'
loop_
_atom_site_label
_atom_site_type_symbol
_atom_site_fract_x
_atom_site_fract_y
_atom_site_fract_z
Nd1 Nd 0.5000 0.5000 0.5000
Ir1 Ir 0.7500 0.7500 0.7500
Ir2 Ir 0.2500 0.2500 0.2500
Y1 Y 0.0000 0.0000 0.0000

[3]
# meta-GGA SCAN Al3GaW, single point on PBEsol structure
# **ΔH_f (0 K)**: 1.38 eV per atom
# **Space group**: No. 221
data_Al3GaW
_space_group_name_H-M_alt 'P 1'
_space_group_IT_number 1
_cell_length_a 4.5801
_cell_length_b 4.5801
_cell_length_c 4.5801
_cell_angle_alpha 90.00
_cell_angle_beta 90.00
_cell_angle_gamma 90.00
loop_
_space_group_symop_operation_xyz
'x,y,z'
loop_
_atom_site_label
_atom_site_type_symbol
_atom_site_fract_x
_atom_site_fract_y
_atom_site_fract_z
Al1 Al 0.5000 0.0000 0.0000
Al2 Al 0.0000 0.0000 0.5000
Al3 Al 0.0000 0.5000 0.0000
Ga1 Ga 0.0000 0.0000 0.0000
W1 W 0.5000 0.5000 0.5000

[4]
# meta-GGA SCAN Mg2TcSe, single point on PBEsol structure
# **Space group**: No. 123
# **E_form (uncorrected)**: -0.29 eV/f.u.
data_Mg2TcSe
_space_group_name_H-M_alt 'P 1'
_space_group_IT_number 1
_cell_length_a 3.4387
_cell_length_b 3.4387
_cell_length_c 5.5987
_cell_angle_alpha 90.00
_cell_angle_beta 90.00
_cell_angle_gamma 90.00
loop_
_space_group_symop_operation_xyz
'x,y,z'
loop_
_atom_site_label
_atom_site_type_symbol
_atom_site_fract_x
_atom_site_fract_y
_atom_site_fract_z
Se1 Se 0.5000 0.5000 0.0000
Mg1 Mg 0.0000 0.0000 0.7379
Mg2 Mg 0.0000 0.0000 0.2621
Tc1 Tc 0.5000 0.5000 0.5000

no.,VASP energy (eV/atom)
1,-50.321
2,-54.206
3,-20.482
4,-16.344